[1]
Entry from Alexandria via LeMat-Bulk: a relaxed structure of NpTaCoO6 (GGA+U).

a b c (Å): 5.470 5.470 8.889
angles (deg): 90.00 90.00 120.00
Fractional coordinates of all 18 atoms:
Np (0.333, 0.667, 0.250)
Np (0.667, 0.333, 0.750)
Ta (0.333, 0.667, 0.750)
Ta (0.667, 0.333, 0.250)
Co (0.000, 0.000, 0.000)
Co (0.000, 0.000, 0.500)
O (0.018, 0.355, 0.631)
O (0.018, 0.663, 0.869)
O (0.337, 0.355, 0.869)
O (0.337, 0.982, 0.631)
O (0.355, 0.018, 0.131)
O (0.355, 0.337, 0.369)
O (0.645, 0.663, 0.631)
O (0.645, 0.982, 0.869)
O (0.663, 0.018, 0.369)
O (0.663, 0.645, 0.131)
O (0.982, 0.337, 0.131)
O (0.982, 0.645, 0.369)

[2]
Entry from Alexandria via LeMat-Bulk: a relaxed structure of TbNpCo2O8 (GGA+U).

a b c (Å): 5.880 5.880 5.880
angles (deg): 108.77 108.77 110.89
Fractional coordinates of all 12 atoms:
Tb (0.000, 0.000, 0.000)
Np (0.750, 0.250, 0.500)
Co (0.250, 0.750, 0.500)
Co (0.500, 0.500, 0.000)
O (0.060, 0.387, 0.327)
O (0.060, 0.733, 0.673)
O (0.093, 0.299, 0.793)
O (0.267, 0.940, 0.327)
O (0.506, 0.299, 0.207)
O (0.613, 0.940, 0.673)
O (0.701, 0.494, 0.793)
O (0.701, 0.907, 0.207)

no.,electronic total energy (eV/atom)
1,-8.968
2,-7.567